1.
DFT (PBE-GGA) results for an optimized crystal structure of TlCdIn5Bi2. Values from VASP.

The calculation puts the formation enthalpy at 0 K at 0.053 eV per atom. The symmetry is Cmc2_1.

Geometry as Quantum ESPRESSO input:
```
&SYSTEM
  ibrav = 0, nat = 18, ntyp = 4
/
ATOMIC_SPECIES
Tl 204.38 Tl.upf
Cd 112.41 Cd.upf
In 114.82 In.upf
Bi 208.98 Bi.upf
CELL_PARAMETERS angstrom
2.254 -9.164 0.000
2.254 9.164 0.000
0.000 0.000 13.293
ATOMIC_POSITIONS angstrom
Tl 2.254 8.677 6.647
Tl 2.254 -8.677 0.000
Cd 2.254 3.184 0.771
Cd 2.254 -3.184 7.417
In 2.254 8.043 3.588
In 2.254 6.400 9.791
In 2.254 6.174 0.682
In 2.254 5.093 5.372
In 2.254 0.550 2.326
In 2.254 -0.550 8.973
In 2.254 -5.093 12.018
In 2.254 -6.174 7.328
In 2.254 -6.400 3.144
In 2.254 -8.043 10.235
Bi 2.254 3.331 9.711
Bi 2.254 1.884 5.301
Bi 2.254 -1.884 11.948
Bi 2.254 -3.331 3.064
```


2.
DFT (PBE-GGA) results for an optimized crystal structure of NdNpAu4. Values from VASP.

The calculation puts the formation enthalpy at 0 K at -0.233 eV per atom. The symmetry is F-43m.

Geometry as Quantum ESPRESSO input:
```
&SYSTEM
  ibrav = 0, nat = 6, ntyp = 3
/
ATOMIC_SPECIES
Nd 144.24 Nd.upf
Np 237.00 Np.upf
Au 196.97 Au.upf
CELL_PARAMETERS angstrom
0.000 4.042 4.042
4.042 0.000 4.042
4.042 4.042 0.000
ATOMIC_POSITIONS angstrom
Nd 0.000 0.000 0.000
Np 2.021 2.021 2.021
Au 5.050 3.033 3.033
Au 3.033 5.050 3.033
Au 3.033 3.033 5.050
Au 5.050 5.050 5.050
```


3.
DFT (PBE-GGA) results for an optimized crystal structure of Sc2AgSe2. Values from VASP.

The calculation puts the excess energy over the best structure of this formula in the dataset at 145 meV per atom. The symmetry is I4/mmm. For the uncorrected formation energy, the calculation gives -0.89 eV/atom.

Geometry as Quantum ESPRESSO input:
```
&SYSTEM
  ibrav = 0, nat = 5, ntyp = 3
/
ATOMIC_SPECIES
Sc 44.96 Sc.upf
Ag 107.87 Ag.upf
Se 78.96 Se.upf
CELL_PARAMETERS angstrom
-2.411 2.411 5.291
2.411 -2.411 5.291
2.411 2.411 -5.291
ATOMIC_POSITIONS angstrom
Sc 2.411 0.000 2.645
Sc 0.000 2.411 2.645
Ag 0.000 0.000 0.000
Se 0.000 0.000 3.709
Se 0.000 0.000 6.873
```


Number 1: D(E_F) 0.3107 states/eV/atom. Number 2: D(E_F) 2.7539 states/eV/atom. Number 3: D(E_F) 0.7717 states/eV/atom.